No. 1
MnNiO3 | GGA+U | optimized geometry

space-group type: No. 12
V: 55.8 Å³/f.u.
energy: -61.1 eV per cell

Lattice parameters (Å, degrees): 5.229 5.229 6.806 63.37 63.37 43.21
Site moments in Bohr magnetons follow the coordinates.
Atoms (fractional coordinates):
O 0.328 0.328 0.033  -0.10
O 0.655 0.655 0.371  0.01
O 0.972 0.972 0.206  -0.08
O 0.345 0.345 0.629  0.01
O 0.672 0.672 0.967  -0.10
O 0.028 0.028 0.794  -0.08
Ni 0.522 0.522 0.695  1.74
Ni 0.478 0.478 0.305  1.74
Mn 0.175 0.175 0.906  3.33
Mn 0.825 0.825 0.094  3.33

No. 2
Li3Mn2Co2O8 | GGA+U | optimized geometry

offset from the most stable computed form: 0.0000 eV per atom
space-group type: No. 2
V: 141.7 Å³/f.u.
energy: -93.0 eV per cell

Lattice parameters (Å, degrees): 5.763 5.779 5.885 90.15 118.50 119.90
Site moments in Bohr magnetons follow the coordinates.
Atoms (fractional coordinates):
Mn 0.500 0.500 0.000  3.20
Mn 0.500 0.000 0.000  3.15
Li 0.000 0.500 0.500  0.00
Li 0.000 0.500 0.000  0.02
Li 0.500 0.000 0.500  -0.01
O 0.494 0.750 0.217  -0.03
O 0.033 0.255 0.780  0.00
O 0.506 0.250 0.783  -0.03
O 0.526 0.765 0.789  -0.08
O 0.959 0.216 0.218  0.01
O 0.474 0.235 0.211  -0.08
O 0.967 0.745 0.220  0.00
O 0.041 0.784 0.782  0.01
Co 0.000 0.000 0.000  0.04
Co 0.000 0.000 0.500  2.70